TaTe2Au: relaxed, GGA-PBEsol.

Unit cell a=3.4062 b=4.6826 c=5.2682 alpha=90.00 beta=90.00 gamma=90.00
Sites, in units of the cell vectors:
1 Te 0.0000 0.0000 0.0000
2 Te 0.5000 0.0000 0.5000
3 Ta 0.0000 0.5000 0.5000
4 Au 0.5000 0.5000 0.0000

Summary:
Calculated volume in Å³ per cell: 84.0
D(E_F) in states/eV/cell: 2.8
ΔE_f (raw) in eV per atom: 0.514